Entry from Alexandria: a relaxed structure of YTm3Th4Se8 (PBE).

The energy relative to the elements, uncorrected is -1618 meV/atom. The calculation puts the final energy at -6.46 eV per atom.

The structure belongs to space group R-3m (No. 166, hexagonal axes); the cell edges are 8.0001, 8.0001 and 21.4113 Å and the angles 90.00°, 90.00° and 120.00°. Symmetry generates all atoms from Y at (0.0000, 0.0000, 0.0000), Tm at (0.0000, 0.5000, 0.0000), Th at (0.0000, 0.0000, 0.5000), Th at (0.0000, 0.5000, 0.5000), Se at (0.0000, 0.0000, 0.2572) and Se at (0.0030, 0.5015, 0.2566).

Entry from Alexandria: a relaxed structure of Y2TmThSe4 (PBE).

The energy relative to the elements, uncorrected is -1663 meV/atom. The calculation puts the final energy at -6.51 eV per atom.

The structure belongs to space group P2/m (No. 10); the cell edges are 7.0799, 4.0586 and 7.1968 Å and the angles 90.00°, 108.98° and 90.00°. Symmetry generates all atoms from Y at (0.0000, 0.0000, 0.0000), Y at (0.0000, 0.5000, 0.5000), Tm at (0.5000, 0.0000, 0.5000), Th at (0.5000, 0.5000, 0.0000), Se at (0.2435, 0.0000, 0.7382) and Se at (0.2509, 0.5000, 0.2596).

Entry from Alexandria: a relaxed structure of YTmTh2Se4 (PBE).

The energy relative to the elements, uncorrected is -1620 meV/atom. The calculation puts the final energy at -6.58 eV per atom.

The structure belongs to space group P2/m (No. 10); the cell edges are 6.9184, 4.0245 and 7.5248 Å and the angles 90.00°, 108.14° and 90.00°. Symmetry generates all atoms from Y at (0.0000, 0.0000, 0.0000), Tm at (0.5000, 0.5000, 0.0000), Th at (0.0000, 0.5000, 0.5000), Th at (0.5000, 0.0000, 0.5000), Se at (0.2475, 0.5000, 0.2322) and Se at (0.2596, 0.0000, 0.7698).

Entry from Alexandria: a relaxed structure of YTm2ThSe4 (PBE).

The energy relative to the elements, uncorrected is -1642 meV/atom. The calculation puts the final energy at -6.24 eV per atom.

The structure belongs to space group P2/m (No. 10); the cell edges are 7.0495, 4.0240 and 7.1805 Å and the angles 90.00°, 108.77° and 90.00°. Symmetry generates all atoms from Y at (0.0000, 0.0000, 0.0000), Tm at (0.0000, 0.5000, 0.5000), Tm at (0.5000, 0.0000, 0.5000), Th at (0.5000, 0.5000, 0.0000), Se at (0.2390, 0.0000, 0.7339) and Se at (0.2486, 0.5000, 0.2617).